Density functional theory data (PBE) for an optimized crystal structure of BaNa2Sn2.

Lattice parameters (Å, degrees): 9.407 9.407 3.462 90.00 90.00 90.00
Fractional positions:
Ba  0.000  0.000  0.000
Ba  0.500  0.500  0.000
Na  0.116  0.384  0.000
Na  0.384  0.884  0.000
Na  0.616  0.116  0.000
Na  0.884  0.616  0.000
Sn  0.181  0.681  0.500
Sn  0.319  0.181  0.500
Sn  0.681  0.819  0.500
Sn  0.819  0.319  0.500

## Properties
DFT formation energy: -1.4 eV per formula unit
energy: -2.79 eV per atom


Density functional theory data (PBE) for an optimized crystal structure of BaNa2Sn6.

Lattice parameters (Å, degrees): 8.892 8.892 8.892 148.23 127.90 62.32
Fractional positions:
Ba  0.000  0.000  0.000
Na  0.386  0.886  0.500
Na  0.614  0.114  0.500
Sn  0.003  0.306  0.697
Sn  0.315  0.500  0.815
Sn  0.391  0.694  0.697
Sn  0.609  0.306  0.303
Sn  0.685  0.500  0.185
Sn  0.997  0.694  0.303

## Properties
DFT formation energy: -2.1 eV per formula unit
energy: -3.41 eV per atom


Density functional theory data (PBE) for an optimized crystal structure of Ba6Na23Sn.

Lattice parameters (Å, degrees): 12.193 12.193 12.193 60.00 60.00 60.00
Fractional positions:
Ba  0.199  0.199  0.801
Ba  0.199  0.801  0.199
Ba  0.199  0.801  0.801
Ba  0.801  0.199  0.199
Ba  0.801  0.199  0.801
Ba  0.801  0.801  0.199
Na  0.000  0.000  0.500
Na  0.000  0.500  0.000
Na  0.000  0.500  0.500
Na  0.142  0.619  0.619
Na  0.172  0.172  0.172
Na  0.172  0.172  0.483
Na  0.172  0.483  0.172
Na  0.381  0.381  0.381
Na  0.381  0.381  0.858
Na  0.381  0.858  0.381
Na  0.483  0.172  0.172
Na  0.500  0.000  0.000
Na  0.500  0.000  0.500
Na  0.500  0.500  0.000
Na  0.500  0.500  0.500
Na  0.517  0.828  0.828
Na  0.619  0.142  0.619
Na  0.619  0.619  0.142
Na  0.619  0.619  0.619
Na  0.828  0.517  0.828
Na  0.828  0.828  0.517
Na  0.828  0.828  0.828
Na  0.858  0.381  0.381
Sn  0.000  0.000  0.000

## Properties
DFT formation energy: -1.5 eV per formula unit
energy: -1.58 eV per atom